This record from Alexandria via LeMat-Bulk describes an optimized crystal structure of Cd3GaBr. The functional is PBE.

a = 5.2240 Å, b = 5.2240 Å, c = 5.2240 Å
α = 90.00°, β = 90.00°, γ = 90.00°
Sites, in units of the cell vectors:
Ga 0.0000 0.0000 0.0000
Br 0.5000 0.5000 0.5000
Cd 0.0000 0.5000 0.0000
Cd 0.0000 0.0000 0.5000
Cd 0.5000 0.0000 0.0000

## Properties
DFT total energy = -1.5779 eV per atom
Symmetry = Pm-3m, No. 221
E_form (uncorrected) = -0.4 eV/f.u.


This record from Alexandria via LeMat-Bulk describes an optimized crystal structure of CsSnTeS6. The functional is PBE.

a = 6.4140 Å, b = 6.4140 Å, c = 8.3836 Å
α = 90.01°, β = 89.99°, γ = 59.96°
Each line ends with the local moment (μB).
Sites, in units of the cell vectors:
Cs 0.0000 0.0000 0.0000  0.00
Sn 0.6666 0.6666 0.5000  0.00
Te 0.3333 0.3334 0.5000  -0.01
S 0.0082 0.3635 0.3208  0.09
S 0.3635 0.0082 0.6792  0.09
S 0.6283 0.3636 0.6792  0.09
S 0.0079 0.6285 0.6792  0.09
S 0.3636 0.6283 0.3208  0.09
S 0.6285 0.0079 0.3208  0.09

## Properties
DFT total energy = -3.7347 eV per atom
Symmetry = P312, No. 149
E_form (uncorrected) = -0.8 eV/f.u.


This record from Alexandria via LeMat-Bulk describes an optimized crystal structure of BeSi2C. The functional is PBE.

a = 4.9552 Å, b = 4.9552 Å, c = 5.5630 Å
α = 63.55°, β = 63.55°, γ = 90.00°
Sites, in units of the cell vectors:
Be 0.5000 0.5000 0.0000
Be 0.2500 0.7500 0.5000
Si 0.6771 0.1250 0.2500
Si 0.0729 0.6250 0.2500
Si 0.3750 0.3229 0.7500
Si 0.8750 0.9271 0.7500
C 0.0000 0.0000 0.0000
C 0.7500 0.2500 0.5000

## Properties
DFT total energy = -5.4751 eV per atom
Symmetry = I-42d, No. 122
E_form (uncorrected) = 1.9 eV/f.u.


This record from Alexandria via LeMat-Bulk describes an optimized crystal structure of Y2PAu2. The functional is PBE.

a = 7.5972 Å, b = 7.5972 Å, c = 4.1946 Å
α = 90.00°, β = 90.00°, γ = 90.00°
Sites, in units of the cell vectors:
Y 0.3250 0.8250 0.0000
Y 0.8250 0.6750 0.0000
Y 0.6750 0.1750 0.0000
Y 0.1750 0.3250 0.0000
P 0.0000 0.0000 0.0000
P 0.5000 0.5000 0.0000
Au 0.1292 0.6292 0.5000
Au 0.6292 0.8708 0.5000
Au 0.8708 0.3708 0.5000
Au 0.3708 0.1292 0.5000

## Properties
DFT total energy = -5.6941 eV per atom
Formation enthalpy at 0 K = -0.7155 eV per atom
Symmetry = P4/mbm, No. 127


This record from Alexandria via LeMat-Bulk describes an optimized crystal structure of DySi2Tc2C. The functional is PBE.

a = 4.1434 Å, b = 4.1434 Å, c = 5.2314 Å
α = 90.00°, β = 90.00°, γ = 90.00°
Sites, in units of the cell vectors:
Dy 0.0000 0.0000 0.5000
Si 0.5000 0.5000 0.7222
Si 0.5000 0.5000 0.2778
Tc 0.5000 0.0000 0.0000
Tc 0.0000 0.5000 0.0000
C 0.0000 0.0000 0.0000

## Properties
DFT total energy = -8.0601 eV per atom
Symmetry = P4/mmm, No. 123
E_form (uncorrected) = -3.0 eV/f.u.


This record from Alexandria via LeMat-Bulk describes an optimized crystal structure of Tb5Si3. The functional is PBE.

a = 8.4915 Å, b = 8.4915 Å, c = 6.4137 Å
α = 90.00°, β = 90.00°, γ = 120.00°
Sites, in units of the cell vectors:
Si 0.0000 0.3942 0.2500
Si 0.6058 0.6058 0.2500
Si 0.3942 0.0000 0.2500
Si 0.0000 0.6058 0.7500
Si 0.3942 0.3942 0.7500
Si 0.6058 0.0000 0.7500
Tb 0.6667 0.3333 0.0000
Tb 0.3333 0.6667 0.5000
Tb 0.3333 0.6667 0.0000
Tb 0.6667 0.3333 0.5000
Tb 0.0000 0.7564 0.2500
Tb 0.2436 0.2436 0.2500
Tb 0.7564 0.0000 0.2500
Tb 0.0000 0.2436 0.7500
Tb 0.7564 0.7564 0.7500
Tb 0.2436 0.0000 0.7500

## Properties
DFT total energy = -5.6000 eV per atom
Symmetry = P6_3/mcm, No. 193
E_form (uncorrected) = -5.4 eV/f.u.


This record from Alexandria via LeMat-Bulk describes an optimized crystal structure of Pm2Nd4Hg. The functional is PBE.

a = 3.6176 Å, b = 8.6660 Å, c = 8.6568 Å
α = 116.84°, β = 102.06°, γ = 90.00°
Sites, in units of the cell vectors:
Pm 0.7842 0.8610 0.5684
Pm 0.2158 0.1390 0.4316
Nd 0.9172 0.2992 0.8344
Nd 0.0828 0.7008 0.1656
Nd 0.6261 0.3798 0.2521
Nd 0.3739 0.6202 0.7479
Hg 0.0000 0.0000 0.0000

## Properties
DFT total energy = -4.1374 eV per atom
Formation enthalpy at 0 K = -0.0125 eV per atom
Symmetry = C2/m, No. 12


This record from Alexandria via LeMat-Bulk describes an optimized crystal structure of Be2Fe4Cu. The functional is PBE.

a = 4.2907 Å, b = 4.2907 Å, c = 6.2623 Å
α = 69.97°, β = 69.97°, γ = 90.00°
Each line ends with the local moment (μB).
Sites, in units of the cell vectors:
Be 0.5908 0.5908 0.8183  -0.10
Be 0.4092 0.4092 0.1817  -0.10
Fe 0.7877 0.7877 0.4247  2.97
Fe 0.2123 0.2123 0.5753  2.97
Fe 0.0000 0.5000 0.0000  2.54
Fe 0.5000 0.0000 0.0000  2.54
Cu 0.0000 0.0000 0.0000  0.26

## Properties
DFT total energy = -5.4079 eV per atom
Formation enthalpy at 0 K = 1.0777 eV per atom
Symmetry = I4/mmm, No. 139


Q: Among the records above, which one has the highest DFT total energy?
A: Cd3GaBr


Q: The lowest DFT total energy belongs to which entry?
A: DySi2Tc2C


Please write out number 6 again, unchanged.
This record from Alexandria via LeMat-Bulk describes an optimized crystal structure of Tb5Si3. The functional is PBE.

a = 8.4915 Å, b = 8.4915 Å, c = 6.4137 Å
α = 90.00°, β = 90.00°, γ = 120.00°
Sites, in units of the cell vectors:
Si 0.0000 0.3942 0.2500
Si 0.6058 0.6058 0.2500
Si 0.3942 0.0000 0.2500
Si 0.0000 0.6058 0.7500
Si 0.3942 0.3942 0.7500
Si 0.6058 0.0000 0.7500
Tb 0.6667 0.3333 0.0000
Tb 0.3333 0.6667 0.5000
Tb 0.3333 0.6667 0.0000
Tb 0.6667 0.3333 0.5000
Tb 0.0000 0.7564 0.2500
Tb 0.2436 0.2436 0.2500
Tb 0.7564 0.0000 0.2500
Tb 0.0000 0.2436 0.7500
Tb 0.7564 0.7564 0.7500
Tb 0.2436 0.0000 0.7500

## Properties
DFT total energy = -5.6000 eV per atom
Symmetry = P6_3/mcm, No. 193
E_form (uncorrected) = -5.4 eV/f.u.


Q: The lowest DFT total energy belongs to which entry?
A: DySi2Tc2C